# 1
Density functional theory data (PBE) for a relaxed ReAg2Sb crystal.

Structure (extended XYZ):
```
4
Lattice="2.832 0.000 0.000 0.000 4.634 0.000 0.000 0.000 5.667" Properties=species:S:1:pos:R:3 pbc="T T T"
Re 0.000 0.000 0.000
Ag 1.416 2.317 1.336
Ag 1.416 2.317 4.331
Sb 0.000 0.000 2.833
```

Summary:
**Space group**: Pmmm
**Spin magnetization**: 0.0000 μB per atom

***

# 2
Density functional theory data (PBE) for a relaxed ReAg2Sb crystal.

Structure (extended XYZ):
```
4
Lattice="0.000 3.302 3.302 3.302 0.000 3.302 3.302 3.302 0.000" Properties=species:S:1:pos:R:3 pbc="T T T"
Re 0.000 0.000 0.000
Ag 3.302 3.302 3.302
Ag 4.954 4.954 4.954
Sb 1.651 1.651 1.651
```

Summary:
**Space group**: F-43m
**Spin magnetization**: 0.0000 μB per atom

***

# 3
Density functional theory data (PBE) for a relaxed ReAg2Sb crystal.

Structure (extended XYZ):
```
4
Lattice="2.796 0.000 0.000 0.000 4.928 0.000 0.000 0.000 5.392" Properties=species:S:1:pos:R:3 pbc="T T T"
Re 0.000 0.000 0.000
Ag 1.398 0.000 2.639
Ag 1.398 2.464 1.242
Sb 0.000 2.464 4.070
```

Summary:
**Space group**: Pmm2
**Spin magnetization**: 0.0000 μB per atom

***

Per-record calculated total energy, eV per formula unit: -19.44, -19.73, -19.90